# Co4Ni2Te9 | Alexandria via LeMat-Bulk | PBE-GGA | optimized geometry
data_Co4Ni2Te9
_cell_length_a 11.6391
_cell_length_b 6.7204
_cell_length_c 15.9944
_cell_angle_alpha 90.00
_cell_angle_beta 90.01
_cell_angle_gamma 90.00
_symmetry_space_group_name_H-M 'C 1 2/c 1'
_symmetry_Int_Tables_number 15
loop_
_symmetry_equiv_pos_as_xyz
'x,y,z'
'-x,-y,-z'
'-x,y,-z+1/2'
'x,-y,z+1/2'
'x+1/2,y+1/2,z'
'-x+1/2,-y+1/2,-z'
'-x+1/2,y+1/2,-z+1/2'
'x+1/2,-y+1/2,z+1/2'
loop_
_atom_site_label
_atom_site_type_symbol
_atom_site_fract_x
_atom_site_fract_y
_atom_site_fract_z
Co1 Co 0.1667 0.0003 0.4928
Co2 Co 0.1667 0.0010 0.1714
Ni1 Ni 0.0000 0.4991 0.6590
Te1 Te 0.0000 0.1704 0.7500
Te2 Te 0.0053 0.1588 0.0827
Te3 Te 0.1643 0.3364 0.2501
Te4 Te 0.1685 0.3206 0.5831
Te5 Te 0.1736 0.3366 0.9172
# formation energy without anion corrections = -0.1522 eV/atom


# BaCdTe2 | Alexandria via LeMat-Bulk | PBE-GGA | optimized geometry
data_BaCdTe2
_cell_length_a 4.7013
_cell_length_b 4.7013
_cell_length_c 22.6100
_cell_angle_alpha 90.00
_cell_angle_beta 90.00
_cell_angle_gamma 120.00
_symmetry_space_group_name_H-M 'R -3 m'
_symmetry_Int_Tables_number 166
_symmetry_space_group_name_Hall '-R 3 2"'
loop_
_atom_site_label
_atom_site_type_symbol
_atom_site_fract_x
_atom_site_fract_y
_atom_site_fract_z
Ba1 Ba 0.0000 0.0000 0.0000
Cd1 Cd 0.0000 0.0000 0.5000
Te1 Te 0.0000 0.0000 0.2367
# formation energy without anion corrections = -0.9566 eV/atom


# Ce4PAuS2 | Alexandria via LeMat-Bulk | PBE-GGA | optimized geometry
data_Ce4PAuS2
_cell_length_a 7.1251
_cell_length_b 4.0839
_cell_length_c 7.2056
_cell_angle_alpha 90.00
_cell_angle_beta 109.07
_cell_angle_gamma 90.00
_symmetry_space_group_name_H-M 'P 1 2/m 1'
_symmetry_Int_Tables_number 10
loop_
_symmetry_equiv_pos_as_xyz
'x,y,z'
'-x,-y,-z'
'-x,y,-z'
'x,-y,z'
loop_
_atom_site_label
_atom_site_type_symbol
_atom_site_fract_x
_atom_site_fract_y
_atom_site_fract_z
Ce1 Ce 0.2360 0.0000 0.2339
Ce2 Ce 0.2435 0.5000 0.7594
P1 P 0.5000 0.0000 0.0000
Au1 Au 0.5000 0.5000 0.5000
S1 S 0.0000 0.0000 0.5000
S2 S 0.0000 0.5000 0.0000
# formation energy without anion corrections = -1.4676 eV/atom


Which of these has the lowest formation energy without anion corrections? Ce4PAuS2